No. 1
# Ti6Al16Pd7 | the Alexandria database | GGA-PBEsol | relaxed
# * DOS(E_F): 8.91 states/eV/cell
# * SG: Fm-3m (225)
# * DFT formation energy: -62.8 kJ per mole of atoms
data_Ti6Al16Pd7
_cell_length_a 8.564
_cell_length_b 8.564
_cell_length_c 8.564
_cell_angle_alpha 60.00
_cell_angle_beta 60.00
_cell_angle_gamma 60.00
_space_group_name_H-M_alt 'P 1'
_space_group_IT_number 1
_space_group_name_Hall 'P 1'
loop_
_atom_site_label
_atom_site_type_symbol
_atom_site_fract_x
_atom_site_fract_y
_atom_site_fract_z
Pd1 Pd 0.000 0.500 0.000
Ti1 Ti 0.674 0.326 0.326
Ti2 Ti 0.674 0.674 0.326
Ti3 Ti 0.326 0.674 0.326
Al1 Al 0.639 0.120 0.120
Pd2 Pd 0.500 0.000 0.000
Pd3 Pd 0.500 0.000 0.500
Al2 Al 0.661 0.661 0.661
Al3 Al 0.880 0.880 0.880
Pd4 Pd 0.000 0.000 0.000
Ti4 Ti 0.326 0.326 0.674
Al4 Al 0.880 0.361 0.880
Pd5 Pd 0.000 0.000 0.500
Al5 Al 0.880 0.880 0.361
Ti5 Ti 0.326 0.674 0.674
Pd6 Pd 0.500 0.500 0.000
Al6 Al 0.339 0.982 0.339
Ti6 Ti 0.674 0.326 0.674
Al7 Al 0.120 0.639 0.120
Pd7 Pd 0.000 0.500 0.500
Al8 Al 0.661 0.661 0.018
Al9 Al 0.361 0.880 0.880
Al10 Al 0.339 0.339 0.982
Al11 Al 0.120 0.120 0.120
Al12 Al 0.661 0.018 0.661
Al13 Al 0.018 0.661 0.661
Al14 Al 0.120 0.120 0.639
Al15 Al 0.982 0.339 0.339
Al16 Al 0.339 0.339 0.339

No. 2
# ScCo2Te | the Alexandria database | GGA-PBEsol | relaxed
# * DOS(E_F): 1.67 states/eV/cell
# * SG: I4/mmm (139)
# * E_form (uncorrected): -1.08 eV/f.u.
data_ScCo2Te
_cell_length_a 4.120
_cell_length_b 4.461
_cell_length_c 4.120
_cell_angle_alpha 117.50
_cell_angle_beta 90.00
_cell_angle_gamma 117.50
_space_group_name_H-M_alt 'P 1'
_space_group_IT_number 1
_space_group_name_Hall 'P 1'
loop_
_atom_site_label
_atom_site_type_symbol
_atom_site_fract_x
_atom_site_fract_y
_atom_site_fract_z
Co1 Co 0.250 0.500 0.750
Co2 Co 0.750 0.500 0.250
Sc1 Sc 0.500 0.000 0.500
Te1 Te 0.000 0.000 0.000

No. 3
# ScInRe | the Alexandria database | GGA-PBEsol | relaxed
# * DOS(E_F): 2.90 states/eV/cell
# * SG: I4mm (107)
# * DFT formation energy: 1.7 kJ per mole of atoms
data_ScInRe
_cell_length_a 3.406
_cell_length_b 3.406
_cell_length_c 5.239
_cell_angle_alpha 108.97
_cell_angle_beta 108.97
_cell_angle_gamma 90.00
_space_group_name_H-M_alt 'P 1'
_space_group_IT_number 1
_space_group_name_Hall 'P 1'
loop_
_atom_site_label
_atom_site_type_symbol
_atom_site_fract_x
_atom_site_fract_y
_atom_site_fract_z
In1 In 0.991 0.991 0.983
Sc1 Sc 0.679 0.679 0.358
Re1 Re 0.330 0.330 0.659

No. 4
# YInIr4 | the Alexandria database | GGA-PBEsol | relaxed
# * DOS(E_F): 6.82 states/eV/cell
# * SG: F-43m (216)
# * DFT formation energy: -35.4 kJ per mole of atoms
data_YInIr4
_cell_length_a 5.254
_cell_length_b 5.254
_cell_length_c 5.254
_cell_angle_alpha 60.00
_cell_angle_beta 60.00
_cell_angle_gamma 60.00
_space_group_name_H-M_alt 'P 1'
_space_group_IT_number 1
_space_group_name_Hall 'P 1'
loop_
_atom_site_label
_atom_site_type_symbol
_atom_site_fract_x
_atom_site_fract_y
_atom_site_fract_z
Ir1 Ir 0.876 0.375 0.375
Ir2 Ir 0.375 0.375 0.876
In1 In 0.000 0.000 0.000
Ir3 Ir 0.375 0.375 0.375
Ir4 Ir 0.375 0.876 0.375
Y1 Y 0.750 0.750 0.750

No. 5
# SrZr2Sb | the Alexandria database | GGA-PBEsol | relaxed
# * DOS(E_F): 4.46 states/eV/cell
# * SG: Cm (8)
# * E_form (uncorrected): -0.27 eV/f.u.
data_SrZr2Sb
_cell_length_a 3.589
_cell_length_b 5.067
_cell_length_c 6.738
_cell_angle_alpha 98.15
_cell_angle_beta 90.00
_cell_angle_gamma 110.74
_space_group_name_H-M_alt 'P 1'
_space_group_IT_number 1
_space_group_name_Hall 'P 1'
loop_
_atom_site_label
_atom_site_type_symbol
_atom_site_fract_x
_atom_site_fract_y
_atom_site_fract_z
Sr1 Sr 0.767 0.533 0.265
Zr1 Zr 0.240 0.479 0.777
Sb1 Sb 0.510 0.021 0.560
Zr2 Zr 0.983 0.967 0.898

No. 6
# Re2NiMo2S8 | the Alexandria database | GGA-PBEsol | relaxed
# * DOS(E_F): 8.62 states/eV/cell
# * SG: Imm2 (44)
# * E_form (uncorrected): -8.86 eV/f.u.
data_Re2NiMo2S8
_cell_length_a 6.660
_cell_length_b 6.703
_cell_length_c 6.703
_cell_angle_alpha 60.51
_cell_angle_beta 60.22
_cell_angle_gamma 60.22
_space_group_name_H-M_alt 'P 1'
_space_group_IT_number 1
_space_group_name_Hall 'P 1'
loop_
_atom_site_label
_atom_site_type_symbol
_atom_site_fract_x
_atom_site_fract_y
_atom_site_fract_z
S1 S 0.128 0.135 0.135
Re1 Re 0.814 0.395 0.395
Mo1 Mo 0.397 0.395 0.811
S2 S 0.601 0.135 0.135
S3 S 0.638 0.634 0.090
S4 S 0.131 0.598 0.140
S5 S 0.089 0.636 0.636
S6 S 0.131 0.140 0.598
Ni1 Ni 0.002 0.998 0.998
S7 S 0.638 0.636 0.636
S8 S 0.638 0.090 0.634
Re2 Re 0.396 0.395 0.395
Mo2 Mo 0.397 0.811 0.395

No. 7
# LaCd2Se | the Alexandria database | GGA-PBEsol | relaxed
# * DOS(E_F): 2.34 states/eV/cell
# * SG: P4/mmm (123)
# * E_form (uncorrected): -1.76 eV/f.u.
data_LaCd2Se
_cell_length_a 3.844
_cell_length_b 3.844
_cell_length_c 6.640
_cell_angle_alpha 90.00
_cell_angle_beta 90.00
_cell_angle_gamma 90.00
_space_group_name_H-M_alt 'P 1'
_space_group_IT_number 1
_space_group_name_Hall 'P 1'
loop_
_atom_site_label
_atom_site_type_symbol
_atom_site_fract_x
_atom_site_fract_y
_atom_site_fract_z
Cd1 Cd 0.000 0.000 0.715
La1 La 0.500 0.500 0.000
Se1 Se 0.500 0.500 0.500
Cd2 Cd 0.000 0.000 0.285

No. 8
# Ba2CaRh | the Alexandria database | GGA-PBEsol | relaxed
# * DOS(E_F): 2.58 states/eV/cell
# * SG: Amm2 (38)
# * DFT formation energy: -7.4 kJ per mole of atoms
data_Ba2CaRh
_cell_length_a 4.234
_cell_length_b 6.193
_cell_length_c 7.104
_cell_angle_alpha 115.85
_cell_angle_beta 90.00
_cell_angle_gamma 90.00
_space_group_name_H-M_alt 'P 1'
_space_group_IT_number 1
_space_group_name_Hall 'P 1'
loop_
_atom_site_label
_atom_site_type_symbol
_atom_site_fract_x
_atom_site_fract_y
_atom_site_fract_z
Rh1 Rh 0.500 0.255 0.509
Ba1 Ba 0.000 0.094 0.187
Ca1 Ca 0.000 0.394 0.789
Ba2 Ba 0.500 0.757 0.514

No. 9
# HfSc3H | the Alexandria database | GGA-PBEsol | relaxed
# * DOS(E_F): 5.48 states/eV/cell
# * SG: Pm-3m (221)
# * E_tot: -6.852 eV/atom
data_HfSc3H
_cell_length_a 4.466
_cell_length_b 4.466
_cell_length_c 4.466
_cell_angle_alpha 90.00
_cell_angle_beta 90.00
_cell_angle_gamma 90.00
_space_group_name_H-M_alt 'P 1'
_space_group_IT_number 1
_space_group_name_Hall 'P 1'
loop_
_atom_site_label
_atom_site_type_symbol
_atom_site_fract_x
_atom_site_fract_y
_atom_site_fract_z
H1 H 0.000 0.000 0.000
Sc1 Sc 0.000 0.000 0.500
Sc2 Sc 0.500 0.000 0.000
Sc3 Sc 0.000 0.500 0.000
Hf1 Hf 0.500 0.500 0.500

No. 10
# TaNi2Ag | the Alexandria database | GGA-PBEsol | relaxed
# * DOS(E_F): 2.53 states/eV/cell
# * SG: Pmm2 (25)
# * DFT formation energy: 7.5 kJ per mole of atoms
data_TaNi2Ag
_cell_length_a 2.731
_cell_length_b 3.813
_cell_length_c 5.242
_cell_angle_alpha 90.00
_cell_angle_beta 90.00
_cell_angle_gamma 90.00
_space_group_name_H-M_alt 'P 1'
_space_group_IT_number 1
_space_group_name_Hall 'P 1'
loop_
_atom_site_label
_atom_site_type_symbol
_atom_site_fract_x
_atom_site_fract_y
_atom_site_fract_z
Ni1 Ni 0.500 0.500 0.249
Ag1 Ag 0.500 0.500 0.770
Ta1 Ta 0.000 0.000 0.470
Ni2 Ni 0.000 0.000 0.011

No. 11
# SrSCl2 | the Alexandria database | GGA-PBEsol | relaxed
# * DOS(E_F): 2.99 states/eV/cell
# * SG: Fm-3m (225)
# * E_form (uncorrected): -4.39 eV/f.u.
data_SrSCl2
_cell_length_a 5.065
_cell_length_b 5.065
_cell_length_c 5.065
_cell_angle_alpha 60.00
_cell_angle_beta 60.00
_cell_angle_gamma 60.00
_space_group_name_H-M_alt 'P 1'
_space_group_IT_number 1
_space_group_name_Hall 'P 1'
loop_
_atom_site_label
_atom_site_type_symbol
_atom_site_fract_x
_atom_site_fract_y
_atom_site_fract_z
S1 S 0.000 0.000 0.000
Cl1 Cl 0.250 0.250 0.250
Sr1 Sr 0.500 0.500 0.500
Cl2 Cl 0.750 0.750 0.750

No. 12
# MgFeAsBr2 | the Alexandria database | GGA-PBEsol | relaxed
# * DOS(E_F): 5.24 states/eV/cell
# * SG: P4/mmm (123)
# * E_form (uncorrected): 2.03 eV/f.u.
data_MgFeAsBr2
_cell_length_a 4.592
_cell_length_b 4.592
_cell_length_c 5.981
_cell_angle_alpha 90.00
_cell_angle_beta 90.00
_cell_angle_gamma 90.00
_space_group_name_H-M_alt 'P 1'
_space_group_IT_number 1
_space_group_name_Hall 'P 1'
loop_
_atom_site_label
_atom_site_type_symbol
_atom_site_fract_x
_atom_site_fract_y
_atom_site_fract_z
Mg1 Mg 0.000 0.000 0.500
Br1 Br 0.000 0.500 0.000
Fe1 Fe 0.000 0.000 0.000
Br2 Br 0.500 0.000 0.000
As1 As 0.500 0.500 0.500

The lowest DOS(E_F) belongs to which entry?
ScCo2Te

Look up the DOS(E_F) of the third one.
2.90 states/eV/cell